Entry 1:
# NaHg2Pd2, optimized geometry, DFT PBE
data_NaHg2Pd2
_cell_length_a 8.0675
_cell_length_b 8.0675
_cell_length_c 3.0806
_cell_angle_alpha 90.00
_cell_angle_beta 90.00
_cell_angle_gamma 90.00
_space_group_name_H-M_alt 'P 4/m b m'
_space_group_IT_number 127
_space_group_name_Hall '-P 4 2ab'
loop_
_atom_site_label
_atom_site_fract_x
_atom_site_fract_y
_atom_site_fract_z
Na1 0.0000 0.0000 0.0000
Hg1 0.1713 0.3287 0.5000
Pd1 0.1253 0.6253 0.0000
# Energy of formation in kJ/mol of formula units: -118

=====

Entry 2:
# Ac5TbMg4, optimized geometry, DFT PBE
data_Ac5TbMg4
_cell_length_a 4.0798
_cell_length_b 4.0798
_cell_length_c 21.4610
_cell_angle_alpha 90.00
_cell_angle_beta 90.00
_cell_angle_gamma 90.00
_space_group_name_H-M_alt 'P 4/m m m'
_space_group_IT_number 123
_space_group_name_Hall '-P 4 2'
loop_
_atom_site_label
_atom_site_fract_x
_atom_site_fract_y
_atom_site_fract_z
Ac1 0.0000 0.0000 0.0000
Ac2 0.0000 0.0000 0.1934
Ac3 0.0000 0.0000 0.3871
Tb1 0.5000 0.5000 0.5000
Mg1 0.5000 0.5000 0.0965
Mg2 0.5000 0.5000 0.2915
# Energy of formation in kJ/mol of formula units: -46

=====

Entry 3:
# Tb4Pm4Tm5, optimized geometry, DFT PBE
data_Tb4Pm4Tm5
_cell_length_a 12.8482
_cell_length_b 12.8482
_cell_length_c 5.0206
_cell_angle_alpha 90.00
_cell_angle_beta 90.00
_cell_angle_gamma 90.00
_space_group_name_H-M_alt 'I 4/m'
_space_group_IT_number 87
_space_group_name_Hall '-I 4'
loop_
_atom_site_label
_atom_site_fract_x
_atom_site_fract_y
_atom_site_fract_z
Tb1 0.1527 0.7711 0.0000
Pm1 0.0787 0.3829 0.0000
Tm1 0.0000 0.0000 0.0000
Tm2 0.0389 0.1893 0.5000
# Energy of formation in kJ/mol of formula units: 25

=====

Entry 4:
# LaInGa2Te, optimized geometry, DFT PBE
data_LaInGa2Te
_cell_length_a 5.9103
_cell_length_b 5.9103
_cell_length_c 6.0810
_cell_angle_alpha 90.00
_cell_angle_beta 90.00
_cell_angle_gamma 90.00
_space_group_name_H-M_alt 'P 4/m m m'
_space_group_IT_number 123
_space_group_name_Hall '-P 4 2'
loop_
_atom_site_label
_atom_site_fract_x
_atom_site_fract_y
_atom_site_fract_z
La1 0.0000 0.0000 0.0000
In1 0.5000 0.5000 0.5000
Ga1 0.0000 0.5000 0.0000
Te1 0.0000 0.0000 0.5000
# Formation energy (no corrections) in eV/atom: 0.244

=====

Entry 5:
# Sm2CoCu3, optimized geometry, DFT PBE
data_Sm2CoCu3
_cell_length_a 3.7951
_cell_length_b 4.1454
_cell_length_c 7.2702
_cell_angle_alpha 90.00
_cell_angle_beta 90.00
_cell_angle_gamma 90.00
_space_group_name_H-M_alt 'P m m 2'
_space_group_IT_number 25
_space_group_name_Hall 'P 2 -2'
loop_
_atom_site_label
_atom_site_fract_x
_atom_site_fract_y
_atom_site_fract_z
Sm1 0.0000 0.0000 0.0000
Sm2 0.0000 0.5000 0.4695
Co1 0.5000 0.0000 0.3127
Cu1 0.5000 0.0000 0.6413
Cu2 0.5000 0.5000 0.1514
Cu3 0.5000 0.5000 0.8173
# Energy of formation in kJ/mol of formula units: -87

=====

Entry 6:
# Ba3AlGa, optimized geometry, DFT PBE
data_Ba3AlGa
_cell_length_a 4.4169
_cell_length_b 10.3947
_cell_length_c 9.4043
_cell_angle_alpha 90.00
_cell_angle_beta 90.16
_cell_angle_gamma 90.00
_space_group_name_H-M_alt 'P 1 21/m 1'
_space_group_IT_number 11
_space_group_name_Hall '-P 2yb'
loop_
_atom_site_label
_atom_site_fract_x
_atom_site_fract_y
_atom_site_fract_z
Ba1 0.2447 0.0506 0.3169
Ba2 0.2553 0.7500 0.0613
Al1 0.2541 0.7500 0.4838
Ga1 0.2471 0.2500 0.6535
# Energy of formation in kJ/mol of formula units: -96

=====

Entry 7:
# Pm6AlTl2, optimized geometry, DFT PBE
data_Pm6AlTl2
_cell_length_a 8.4068
_cell_length_b 8.4068
_cell_length_c 4.5517
_cell_angle_alpha 90.00
_cell_angle_beta 90.00
_cell_angle_gamma 120.00
_space_group_name_H-M_alt 'P -6 2 m'
_space_group_IT_number 189
_space_group_name_Hall 'P -6 -2'
loop_
_atom_site_label
_atom_site_fract_x
_atom_site_fract_y
_atom_site_fract_z
Pm1 0.0000 0.4023 0.0000
Pm2 0.0000 0.7423 0.5000
Al1 0.0000 0.0000 0.0000
Tl1 0.3333 0.6667 0.5000
# Energy of formation in kJ/mol of formula units: -211

=====

Entry 8:
# Tl2ZnAu, optimized geometry, DFT PBE
data_Tl2ZnAu
_cell_length_a 8.0550
_cell_length_b 8.0550
_cell_length_c 6.2371
_cell_angle_alpha 90.00
_cell_angle_beta 90.00
_cell_angle_gamma 90.00
_space_group_name_H-M_alt 'I -4 2 d'
_space_group_IT_number 122
_space_group_name_Hall 'I -4 2bw'
loop_
_atom_site_label
_atom_site_fract_x
_atom_site_fract_y
_atom_site_fract_z
Tl1 0.2484 0.2500 0.1250
Zn1 0.0000 0.0000 0.5000
Au1 0.0000 0.0000 0.0000
# Energy of formation in kJ/mol of formula units: 53

=====

Entry 9:
# Mn2CdGe2, optimized geometry, DFT PBE
data_Mn2CdGe2
_cell_length_a 7.4523
_cell_length_b 7.4523
_cell_length_c 2.8226
_cell_angle_alpha 90.00
_cell_angle_beta 90.00
_cell_angle_gamma 90.00
_space_group_name_H-M_alt 'P 4/m b m'
_space_group_IT_number 127
_space_group_name_Hall '-P 4 2ab'
loop_
_atom_site_label
_atom_site_fract_x
_atom_site_fract_y
_atom_site_fract_z
Mn1 0.1253 0.3747 0.0000
Cd1 0.0000 0.0000 0.0000
Ge1 0.1682 0.6682 0.5000
# Energy of formation in kJ/mol of formula units: 60

=====

Entry 10:
# Sr2LaMn, optimized geometry, DFT PBE
data_Sr2LaMn
_cell_length_a 8.0140
_cell_length_b 8.0140
_cell_length_c 8.0140
_cell_angle_alpha 90.00
_cell_angle_beta 90.00
_cell_angle_gamma 90.00
_space_group_name_H-M_alt 'F m -3 m'
_space_group_IT_number 225
_space_group_name_Hall '-F 4 2 3'
loop_
_atom_site_label
_atom_site_fract_x
_atom_site_fract_y
_atom_site_fract_z
Sr1 0.2500 0.2500 0.2500
La1 0.0000 0.0000 0.0000
Mn1 0.0000 0.0000 0.5000
# Energy of formation in kJ/mol of formula units: 395

=====

Entry 11:
# Ce12AlPb3, optimized geometry, DFT PBE
data_Ce12AlPb3
_cell_length_a 4.7929
_cell_length_b 4.7929
_cell_length_c 19.1919
_cell_angle_alpha 90.00
_cell_angle_beta 90.00
_cell_angle_gamma 90.00
_space_group_name_H-M_alt 'P 4/m m m'
_space_group_IT_number 123
_space_group_name_Hall '-P 4 2'
loop_
_atom_site_label
_atom_site_fract_x
_atom_site_fract_y
_atom_site_fract_z
Ce1 0.0000 0.0000 0.0000
Ce2 0.0000 0.0000 0.2442
Ce3 0.0000 0.0000 0.5000
Ce4 0.0000 0.5000 0.1181
Ce5 0.0000 0.5000 0.3730
Al1 0.5000 0.5000 0.0000
Pb1 0.5000 0.5000 0.2463
Pb2 0.5000 0.5000 0.5000
# Energy of formation in kJ/mol of formula units: -368

=====

Entry 12:
# ZnOs2Rh, optimized geometry, DFT PBE
data_ZnOs2Rh
_cell_length_a 2.7256
_cell_length_b 4.6503
_cell_length_c 9.1700
_cell_angle_alpha 90.00
_cell_angle_beta 90.00
_cell_angle_gamma 90.00
_space_group_name_H-M_alt 'C m m m'
_space_group_IT_number 65
_space_group_name_Hall '-C 2 2'
loop_
_atom_site_label
_atom_site_fract_x
_atom_site_fract_y
_atom_site_fract_z
Zn1 0.0000 0.0000 0.0000
Os1 0.0000 0.5000 0.2463
Rh1 0.0000 0.0000 0.5000
# Energy of formation in kJ/mol of formula units: 150